1.
# Hf2Ga2Au GGA-PBEsol optimized geometry
data_Hf2Ga2Au
_chemical_formula_sum 'Hf4 Ga4 Au2'
_cell_length_a 6.515
_cell_length_b 6.515
_cell_length_c 4.120
_cell_angle_alpha 90.00
_cell_angle_beta 90.00
_cell_angle_gamma 90.00
_symmetry_space_group_name_H-M 'P 4/m b m'
_symmetry_Int_Tables_number 127
_symmetry_space_group_name_Hall '-P 4 2ab'
loop_
_atom_site_label
_atom_site_fract_x
_atom_site_fract_y
_atom_site_fract_z
Hf1 0.167 0.333 0.000
Ga1 0.134 0.634 0.500
Au1 0.000 0.000 0.500
# ΔH_f (0 K) ... -0.58 eV per atom
# Calculated volume ... 175 Å³/cell
# VASP energy ... -6.91 eV per atom

=====

2.
# Ac2AgIr GGA-PBEsol optimized geometry
data_Ac2AgIr
_chemical_formula_sum 'Ac8 Ag4 Ir4'
_cell_length_a 7.492
_cell_length_b 7.492
_cell_length_c 7.492
_cell_angle_alpha 90.00
_cell_angle_beta 90.00
_cell_angle_gamma 90.00
_symmetry_space_group_name_H-M 'F m -3 m'
_symmetry_Int_Tables_number 225
_symmetry_space_group_name_Hall '-F 4 2 3'
loop_
_atom_site_label
_atom_site_fract_x
_atom_site_fract_y
_atom_site_fract_z
Ac1 0.250 0.250 0.250
Ag1 0.000 0.000 0.000
Ir1 0.000 0.000 0.500
# ΔH_f (0 K) ... -0.33 eV per atom
# Calculated volume ... 420 Å³/cell
# VASP energy ... -5.86 eV per atom

=====

3.
# TiSiO2F GGA-PBEsol optimized geometry
data_TiSiO2F
_chemical_formula_sum 'Ti1 Si1 O2 F1'
_cell_length_a 3.513
_cell_length_b 3.513
_cell_length_c 4.137
_cell_angle_alpha 90.00
_cell_angle_beta 90.00
_cell_angle_gamma 90.00
_symmetry_space_group_name_H-M 'P 4/m m m'
_symmetry_Int_Tables_number 123
_symmetry_space_group_name_Hall '-P 4 2'
loop_
_atom_site_label
_atom_site_fract_x
_atom_site_fract_y
_atom_site_fract_z
Ti1 0.000 0.000 0.000
Si1 0.500 0.500 0.500
O1 0.000 0.500 0.500
F1 0.500 0.500 0.000
# Calculated volume ... 51 Å³/cell
# Formation energy from raw total energies ... -1516 meV/atom
# VASP energy ... -6.82 eV per atom

=====

4.
# Be2Cl GGA-PBEsol optimized geometry
data_Be2Cl
_chemical_formula_sum 'Be8 Cl4'
_cell_length_a 4.379
_cell_length_b 4.379
_cell_length_c 8.159
_cell_angle_alpha 90.00
_cell_angle_beta 90.00
_cell_angle_gamma 90.00
_symmetry_space_group_name_H-M 'I 4/m c m'
_symmetry_Int_Tables_number 140
_symmetry_space_group_name_Hall '-I 4 2c'
loop_
_atom_site_label
_atom_site_fract_x
_atom_site_fract_y
_atom_site_fract_z
Be1 0.177 0.323 0.000
Cl1 0.000 0.000 0.250
# Calculated volume ... 156 Å³/cell
# Formation energy from raw total energies ... 274 meV/atom
# VASP energy ... -3.06 eV per atom
# Energy relative to the lowest polymorph listed for this composition ... 554 meV/atom